Density functional theory data (SCAN) for a crystal of CaRhPb2 relaxed with PBEsol.

Results
- DFT formation energy (kJ/mol of atoms) = -19.0

The structure in POSCAR format:
```
CaRhPb2
1.0
-3.630 -2.646 0.096
1.905 -2.721 -2.933
1.812 -2.364 3.371
Ca Pb Rh
1 2 1
Cartesian
1.859 -2.543 0.219 Ca
0.000 0.000 0.000 Pb
-0.909 -2.505 1.734 Pb
-0.863 -2.684 -1.418 Rh
```

---

Density functional theory data (SCAN) for a crystal of LaCr3Tc relaxed with PBEsol.

Results
- DFT formation energy (kJ/mol of atoms) = 56.6

The structure in POSCAR format:
```
LaCr3Tc
1.0
4.595 0.000 0.000
0.000 4.595 0.000
0.000 0.000 4.595
Cr Tc La
3 1 1
Cartesian
0.000 2.297 0.000 Cr
0.000 0.000 2.297 Cr
2.297 0.000 0.000 Cr
0.000 0.000 0.000 Tc
2.297 2.297 2.297 La
```

---

Density functional theory data (SCAN) for a crystal of ScTi2TeMo relaxed with PBEsol.

Results
- formation energy without anion corrections (eV per atom) = 0.821

The structure in POSCAR format:
```
ScTi2TeMo
1.0
4.881 0.000 0.000
0.000 4.881 0.000
0.000 0.000 4.896
Sc Mo Te Ti
1 1 1 2
Cartesian
2.440 2.440 2.448 Sc
0.000 0.000 2.448 Mo
0.000 0.000 0.000 Te
0.000 2.440 0.000 Ti
2.440 0.000 0.000 Ti
```

---

Density functional theory data (SCAN) for a crystal of Be2CrFe relaxed with PBEsol.

Results
- excess energy over the best structure of this formula in the dataset (kJ per mole of atoms) = 0.0
- DFT formation energy (kJ/mol of atoms) = -9.2

The structure in POSCAR format:
```
Be2CrFe
1.0
3.716 0.000 0.000
1.858 3.218 0.000
1.858 1.073 3.034
Cr Fe Be
1 1 2
Cartesian
3.716 2.146 1.517 Cr
1.858 1.073 0.759 Fe
0.000 0.000 0.000 Be
5.574 3.218 2.276 Be
```

---

Density functional theory data (SCAN) for a crystal of TlCdBi2S relaxed with PBEsol.

Results
- formation energy without anion corrections (eV per atom) = 0.775

The structure in POSCAR format:
```
TlCdBi2S
1.0
4.966 0.000 0.000
0.000 5.800 0.000
0.000 0.000 5.800
S Tl Bi Cd
1 1 2 1
Cartesian
2.483 0.000 0.000 S
0.000 0.000 0.000 Tl
0.000 0.000 2.900 Bi
0.000 2.900 0.000 Bi
2.483 2.900 2.900 Cd
```

---

Density functional theory data (SCAN) for a crystal of ZnW2C relaxed with PBEsol.

Results
- DFT formation energy (kJ/mol of atoms) = 130.8

The structure in POSCAR format:
```
ZnW2C
1.0
-4.072 -0.309 0.472
-1.575 -0.972 3.670
-2.037 2.830 2.177
Zn C W
1 1 2
Cartesian
-3.842 0.774 3.160 Zn
0.000 0.000 0.000 C
-1.921 0.387 1.580 W
-5.763 1.161 4.740 W
```

---

Density functional theory data (SCAN) for a crystal of ZnOsPb2 relaxed with PBEsol.

Results
- DFT formation energy (kJ/mol of atoms) = 89.0

The structure in POSCAR format:
```
ZnOsPb2
1.0
-3.392 1.822 -1.772
-2.224 -0.695 3.541
4.097 3.374 0.698
Os Pb Zn
1 2 1
Cartesian
-0.467 1.621 2.562 Os
0.000 0.000 0.000 Pb
-1.051 2.880 -0.095 Pb
-2.808 0.564 0.884 Zn
```

---

Density functional theory data (SCAN) for a crystal of YSb3Mo relaxed with PBEsol.

Results
- formation energy without anion corrections (eV per atom) = 1.083

The structure in POSCAR format:
```
YSb3Mo
1.0
5.595 0.000 0.000
0.000 5.595 0.000
0.000 0.000 5.595
Y Sb Mo
1 3 1
Cartesian
0.000 0.000 0.000 Y
0.000 2.797 0.000 Sb
0.000 0.000 2.797 Sb
2.797 0.000 0.000 Sb
2.797 2.797 2.797 Mo
```

---

Density functional theory data (SCAN) for a crystal of AlInIr2Se relaxed with PBEsol.

Results
- formation energy without anion corrections (eV per atom) = 1.853

The structure in POSCAR format:
```
AlInIr2Se
1.0
4.734 0.000 0.000
0.000 4.883 0.000
0.000 0.000 4.883
Ir Al Se In
2 1 1 1
Cartesian
0.000 0.000 2.442 Ir
0.000 2.442 0.000 Ir
2.367 0.000 0.000 Al
2.367 2.442 2.442 Se
0.000 0.000 0.000 In
```

---

Density functional theory data (SCAN) for a crystal of CaIn2Tc relaxed with PBEsol.

Results
- DFT formation energy (kJ/mol of atoms) = 0.6

The structure in POSCAR format:
```
CaIn2Tc
1.0
4.391 0.000 0.000
0.000 4.397 0.000
-2.195 -2.199 4.120
Ca In Tc
1 2 1
Cartesian
0.000 2.199 0.000 Ca
2.195 2.199 2.061 In
0.000 0.000 2.058 In
2.195 0.000 0.000 Tc
```

---

Density functional theory data (SCAN) for a crystal of ErSiPt relaxed with PBEsol.

Results
- formation energy without anion corrections (eV per atom) = -1.406

The structure in POSCAR format:
```
ErSiPt
1.0
4.234 0.000 0.000
0.000 6.846 0.000
0.000 0.000 7.347
Si Pt Er
4 4 4
Cartesian
3.175 1.273 0.645 Si
3.175 4.696 3.029 Si
1.058 5.573 6.702 Si
1.058 2.150 4.318 Si
3.175 2.057 3.043 Pt
3.175 5.480 0.630 Pt
1.058 1.366 6.717 Pt
1.058 4.790 4.303 Pt
1.058 3.399 1.465 Er
3.175 0.024 5.139 Er
1.058 6.823 2.208 Er
3.175 3.447 5.882 Er
```

---

Density functional theory data (SCAN) for a crystal of TaInFe2 relaxed with PBEsol.

Results
- DFT formation energy (kJ/mol of atoms) = 21.6

The structure in POSCAR format:
```
TaInFe2
1.0
-1.352 -1.064 -2.161
1.238 -2.177 1.166
-6.450 -1.191 4.620
Fe In Ta
2 1 1
Cartesian
-1.561 -0.288 1.118 Fe
-4.889 -0.903 3.502 Fe
-3.282 -2.216 1.812 In
-0.057 -1.621 -0.498 Ta
```

---

Density functional theory data (SCAN) for a crystal of Li2CrBr relaxed with PBEsol.

Results
- formation energy without anion corrections (eV per atom) = -0.368
- excess energy over the best structure of this formula in the dataset (kJ per mole of atoms) = 0.0

The structure in POSCAR format:
```
Li2CrBr
1.0
-2.243 -1.598 1.963
-1.272 -1.555 -2.720
4.150 -4.824 0.816
Br Cr Li
1 1 2
Cartesian
-1.758 -1.576 -0.379 Br
0.317 -3.988 0.029 Cr
3.158 -3.671 0.621 Li
0.992 -1.153 0.195 Li
```

---

Density functional theory data (SCAN) for a crystal of TiP2IrCl relaxed with PBEsol.

Results
- formation energy without anion corrections (eV per atom) = 0.792

The structure in POSCAR format:
```
TiP2IrCl
1.0
4.305 0.000 0.000
0.000 4.686 0.000
0.000 0.000 4.686
Cl Ir P Ti
1 1 2 1
Cartesian
2.153 0.000 0.000 Cl
2.153 2.343 2.343 Ir
0.000 0.000 2.343 P
0.000 2.343 0.000 P
0.000 0.000 0.000 Ti
```

---

Density functional theory data (SCAN) for a crystal of TmAlCo4 relaxed with PBEsol.

Results
- DFT formation energy (kJ/mol of atoms) = -22.4

The structure in POSCAR format:
```
TmAlCo4
1.0
-0.177 -2.838 -2.571
0.037 -3.302 3.643
-4.272 1.775 -1.665
Tm Co Al
1 4 1
Cartesian
0.000 0.000 0.000 Tm
-2.835 0.083 0.104 Co
-2.221 -2.164 -0.316 Co
-2.239 -0.549 -2.098 Co
-4.311 -1.296 -1.130 Co
-1.399 -1.610 1.873 Al
```

---

Density functional theory data (SCAN) for a crystal of Al2Ag relaxed with PBEsol.

Results
- DFT formation energy (kJ/mol of atoms) = -2.4

The structure in POSCAR format:
```
Al2Ag
1.0
2.859 0.000 0.000
0.000 3.945 0.000
0.000 0.000 8.649
Al Ag
4 2
Cartesian
1.430 1.972 4.325 Al
1.430 1.972 1.438 Al
0.000 0.000 0.000 Al
1.430 1.972 7.212 Al
0.000 0.000 5.789 Ag
0.000 0.000 2.861 Ag
```

---

Density functional theory data (SCAN) for a crystal of LaCoOs relaxed with PBEsol.

Results
- excess energy over the best structure of this formula in the dataset (kJ per mole of atoms) = 29.0
- DFT formation energy (kJ/mol of atoms) = 27.1

The structure in POSCAR format:
```
LaCoOs
1.0
-2.206 0.716 -2.276
-2.350 -0.103 2.242
2.955 4.749 0.954
Co Os La
1 1 1
Cartesian
-1.664 4.895 0.834 Co
0.513 3.835 0.711 Os
-2.050 1.993 0.296 La
```

---

Density functional theory data (SCAN) for a crystal of BaZrHg2 relaxed with PBEsol.

Results
- DFT formation energy (kJ/mol of atoms) = -9.3

The structure in POSCAR format:
```
BaZrHg2
1.0
3.853 0.000 0.000
0.000 3.853 0.000
0.000 0.000 7.580
Ba Hg Zr
1 2 1
Cartesian
1.926 1.926 5.831 Ba
0.000 0.000 0.283 Hg
1.926 1.926 2.073 Hg
0.000 0.000 3.183 Zr
```

---

Density functional theory data (SCAN) for a crystal of YZr5O12 relaxed with PBEsol.

Results
- formation energy without anion corrections (eV per atom) = -3.622

The structure in POSCAR format:
```
YZr5O12
1.0
-4.950 -0.300 -1.324
2.801 -5.617 0.750
-1.911 2.329 6.618
Y Zr O
1 5 12
Cartesian
-5.901 0.865 1.987 Y
-0.036 -0.002 -0.010 Zr
-2.992 -1.290 1.589 Zr
-0.095 -3.452 1.156 Zr
-1.039 -2.297 4.464 Zr
-3.956 -0.136 4.891 Zr
-3.715 -2.176 -0.507 O
-1.314 -1.607 0.350 O
-1.702 -3.061 2.386 O
-4.164 0.125 0.535 O
0.633 -2.586 3.223 O
0.984 -4.955 2.069 O
-2.744 1.506 4.591 O
-2.204 -0.851 3.487 O
-4.682 -0.668 3.037 O
-2.411 -3.865 4.837 O
-0.247 -1.830 6.363 O
-2.803 -1.561 5.895 O
```

---

Density functional theory data (SCAN) for a crystal of Ca2Ru2O7 relaxed with PBEsol.

Results
- formation energy without anion corrections (eV per atom) = -1.926

The structure in POSCAR format:
```
Ca2Ru2O7
1.0
-2.437 -6.726 0.429
2.313 -4.952 -4.635
4.340 -5.248 2.232
Ca Ru O
4 4 14
Cartesian
2.697 -4.740 0.869 Ca
1.683 -4.592 -2.564 Ca
0.527 -2.116 -0.247 Ca
-0.692 -5.478 -0.032 Ca
2.635 -10.579 -1.233 Ru
0.465 -7.955 -2.349 Ru
1.478 -8.102 1.084 Ru
3.853 -7.216 -1.448 Ru
2.968 -7.224 0.254 O
2.187 -7.110 -2.393 O
1.410 -12.025 -0.934 O
0.356 -7.793 -0.441 O
4.913 -13.364 -2.026 O
1.247 -9.702 -2.227 O
4.022 -11.455 -0.239 O
0.000 0.000 0.000 O
2.301 -13.933 -2.721 O
3.241 -11.341 -2.886 O
3.082 -14.047 -0.074 O
1.054 -4.231 -0.493 O
2.029 -9.816 0.419 O
3.859 -9.132 -1.532 O
```

---

Number 1: size of the total moment 0.00 μB per cell, total DFT energy (no corrections) -48.947 eV/atom. Number 2: size of the total moment 8.54 μB per cell, total DFT energy (no corrections) -26.078 eV/atom. Number 3: size of the total moment 1.75 μB per cell, total DFT energy (no corrections) -22.866 eV/atom. Number 4: size of the total moment 0.00 μB per cell, total DFT energy (no corrections) -11.401 eV/atom. Number 5: size of the total moment 0.00 μB per cell, total DFT energy (no corrections) -53.137 eV/atom. Number 6: size of the total moment 0.00 μB per cell, total DFT energy (no corrections) -39.392 eV/atom. Number 7: size of the total moment 0.00 μB per cell, total DFT energy (no corrections) -58.317 eV/atom. Number 8: size of the total moment 4.73 μB per cell, total DFT energy (no corrections) -33.819 eV/atom. Number 9: size of the total moment 0.00 μB per cell, total DFT energy (no corrections) -38.830 eV/atom. Number 10: size of the total moment 0.93 μB per cell, total DFT energy (no corrections) -27.867 eV/atom. Number 11: size of the total moment 0.00 μB per cell, total DFT energy (no corrections) -44.922 eV/atom. Number 12: size of the total moment 4.32 μB per cell, total DFT energy (no corrections) -33.833 eV/atom. Number 13: size of the total moment 4.97 μB per cell, total DFT energy (no corrections) -11.024 eV/atom. Number 14: size of the total moment 1.40 μB per cell, total DFT energy (no corrections) -22.389 eV/atom. Number 15: size of the total moment 5.23 μB per cell, total DFT energy (no corrections) -21.699 eV/atom. Number 16: size of the total moment 0.03 μB per cell, total DFT energy (no corrections) -15.649 eV/atom. Number 17: size of the total moment 1.67 μB per cell, total DFT energy (no corrections) -43.815 eV/atom. Number 18: size of the total moment 1.85 μB per cell, total DFT energy (no corrections) -51.741 eV/atom. Number 19: size of the total moment 1.09 μB per cell, total DFT energy (no corrections) -17.851 eV/atom. Number 20: size of the total moment 0.00 μB per cell, total DFT energy (no corrections) -13.980 eV/atom.